## LiGaFe (PBE-GGA)

Data for crystalline LiGaFe at its relaxed geometry.

a = 2.6105 Å, b = 4.0710 Å, c = 7.6192 Å
α = 90.08°, β = 92.06°, γ = 90.15°
Last column: nearest neighbours and their distance in Å.
Space group P-1 (No. 2)
Asymmetric unit:
Li 0.1494 0.2497 0.4094 [2 per cell]  4 Li 2.59-2.61, 1 Fe 2.61, 3 Ga 2.64-2.85
Ga 0.4901 0.2499 0.7683 [2 per cell]  3 Fe 2.52-2.56, 2 Ga 2.61, 2 Li 2.64
Fe 0.1211 0.7497 0.9242 [2 per cell]  4 Fe 2.43-2.61, 3 Ga 2.52-2.56, 1 Li 2.61

Properties
ΔE_f (eV per atom): -0.147
Total magnetization (μB per cell): 4.43